(1)
A relaxed LaCuGeSe3 crystal. Source: OQMD via LeMat-Bulk, functional PBE.

a = 6.913 Å, b = 6.913 Å, c = 11.149 Å
α = 90.00°, β = 90.00°, γ = 33.69°
Fractional positions:
Cu (0.474, 0.474, 0.250)
Cu (0.526, 0.526, 0.750)
Ge (0.777, 0.777, 0.250)
Ge (0.223, 0.223, 0.750)
La (0.000, 0.000, 0.000)
La (0.000, 0.000, 0.500)
Se (0.348, 0.348, 0.087)
Se (0.088, 0.088, 0.250)
Se (0.348, 0.348, 0.413)
Se (0.652, 0.652, 0.587)
Se (0.912, 0.912, 0.750)
Se (0.652, 0.652, 0.913)

**Total magnetization**: 0.0 Bohr magnetons per cell

=====

(2)
A relaxed LaCuGeTe2Se crystal. Source: OQMD via LeMat-Bulk, functional PBE.

a = 7.424 Å, b = 7.424 Å, c = 11.163 Å
α = 90.00°, β = 90.00°, γ = 147.46°
Fractional positions:
Cu (0.024, 0.976, 0.250)
Cu (0.976, 0.024, 0.750)
Ge (0.737, 0.263, 0.250)
Ge (0.263, 0.737, 0.750)
La (0.500, 0.500, 0.000)
La (0.500, 0.500, 0.500)
Se (0.424, 0.576, 0.250)
Se (0.576, 0.424, 0.750)
Te (0.159, 0.841, 0.082)
Te (0.159, 0.841, 0.418)
Te (0.841, 0.159, 0.582)
Te (0.841, 0.159, 0.918)

**Total magnetization**: 0.0 Bohr magnetons per cell

=====

(3)
A relaxed LaCuGeTeSe2 crystal. Source: OQMD via LeMat-Bulk, functional PBE.

a = 7.014 Å, b = 7.014 Å, c = 11.644 Å
α = 90.00°, β = 90.00°, γ = 146.10°
Fractional positions:
Cu (0.024, 0.976, 0.250)
Cu (0.976, 0.024, 0.750)
Ge (0.707, 0.293, 0.250)
Ge (0.293, 0.707, 0.750)
La (0.500, 0.500, 0.000)
La (0.500, 0.500, 0.500)
Se (0.143, 0.857, 0.089)
Se (0.143, 0.857, 0.411)
Se (0.857, 0.143, 0.589)
Se (0.857, 0.143, 0.911)
Te (0.396, 0.604, 0.250)
Te (0.604, 0.396, 0.750)

**Total magnetization**: 0.0 Bohr magnetons per cell

=====

(4)
A relaxed La2Cu2SiGe crystal. Source: OQMD via LeMat-Bulk, functional PBE.

a = 4.307 Å, b = 4.307 Å, c = 8.124 Å
α = 90.00°, β = 90.00°, γ = 120.00°
Fractional positions:
Cu (0.333, 0.667, 0.000)
Cu (0.000, 0.000, 0.500)
Ge (0.000, 0.000, 0.000)
La (0.667, 0.333, 0.251)
La (0.667, 0.333, 0.749)
Si (0.333, 0.667, 0.500)

**Total magnetization**: 0.0 Bohr magnetons per cell

=====

(5)
A relaxed LaCu2SiGe crystal. Source: OQMD via LeMat-Bulk, functional PBE.

a = 5.845 Å, b = 5.845 Å, c = 5.845 Å
α = 137.80°, β = 137.80°, γ = 61.22°
Fractional positions:
Cu (0.754, 0.254, 0.500)
Cu (0.254, 0.754, 0.500)
Ge (0.621, 0.621, 0.000)
La (0.999, 0.999, 0.000)
Si (0.372, 0.372, 0.000)

**Total magnetization**: 0.0 Bohr magnetons per cell

=====

(6)
A relaxed LaYCu2SiGe crystal. Source: OQMD via LeMat-Bulk, functional PBE.

a = 4.243 Å, b = 4.243 Å, c = 7.827 Å
α = 90.00°, β = 90.00°, γ = 120.00°
Fractional positions:
Cu (0.000, 0.000, 0.272)
Cu (0.333, 0.667, 0.728)
Ge (0.000, 0.000, 0.736)
La (0.667, 0.333, 0.002)
Si (0.333, 0.667, 0.264)
Y (0.667, 0.333, 0.499)

**Total magnetization**: 0.0 Bohr magnetons per cell

=====

(7)
A relaxed La2SmCu4Ge4 crystal. Source: OQMD via LeMat-Bulk, functional PBE.

a = 8.259 Å, b = 8.259 Å, c = 8.259 Å
α = 149.10°, β = 132.06°, γ = 58.13°
Fractional positions:
Cu (0.650, 0.335, 0.315)
Cu (0.981, 0.665, 0.315)
Cu (0.019, 0.335, 0.685)
Cu (0.350, 0.665, 0.685)
Ge (0.215, 0.215, 0.000)
Ge (0.785, 0.785, 0.000)
Ge (0.692, 0.500, 0.192)
Ge (0.308, 0.500, 0.808)
La (0.634, 0.134, 0.500)
La (0.366, 0.866, 0.500)
Sm (0.000, 0.000, 0.000)

**Total magnetization**: 0.0 Bohr magnetons per cell

=====

(8)
A relaxed LaCuTcGe2 crystal. Source: OQMD via LeMat-Bulk, functional PBE.

a = 6.302 Å, b = 6.302 Å, c = 6.302 Å
α = 141.90°, β = 141.90°, γ = 54.98°
Fractional positions:
Cu (0.250, 0.750, 0.500)
Ge (0.126, 0.126, 0.000)
Ge (0.874, 0.874, 0.000)
La (0.500, 0.500, 0.000)
Tc (0.750, 0.250, 0.500)

**Total magnetization**: 0.0 Bohr magnetons per cell

=====

(9)
A relaxed LiCu2Ge2 crystal. Source: OQMD via LeMat-Bulk, functional PBE.

a = 5.918 Å, b = 5.918 Å, c = 5.918 Å
α = 140.68°, β = 140.68°, γ = 56.82°
Fractional positions:
Cu (0.750, 0.250, 0.500)
Cu (0.250, 0.750, 0.500)
Ge (0.383, 0.383, 0.000)
Ge (0.617, 0.617, 0.000)
Li (0.000, 0.000, 0.000)

=====

(10)
A relaxed LiMgCu4Ge2 crystal. Source: OQMD via LeMat-Bulk, functional PBE.

a = 4.254 Å, b = 4.254 Å, c = 5.994 Å
α = 90.00°, β = 90.00°, γ = 90.00°
Fractional positions:
Cu (0.500, 0.000, 0.265)
Cu (0.000, 0.500, 0.265)
Cu (0.500, 0.000, 0.735)
Cu (0.000, 0.500, 0.735)
Ge (0.000, 0.000, 0.000)
Ge (0.500, 0.500, 0.500)
Li (0.000, 0.000, 0.500)
Mg (0.500, 0.500, 0.000)

=====

(11)
A relaxed LiNbCuGe crystal. Source: OQMD via LeMat-Bulk, functional PBE.

a = 4.334 Å, b = 4.334 Å, c = 4.334 Å
α = 60.00°, β = 60.00°, γ = 60.00°
Fractional positions:
Cu (0.750, 0.750, 0.750)
Ge (0.000, 0.000, 0.000)
Li (0.500, 0.500, 0.500)
Nb (0.250, 0.250, 0.250)

**Total magnetization**: 0.0 Bohr magnetons per cell
**Energy above the lowest structure with this stoichiometry**: 0 meV/atom

=====

(12)
A relaxed LiNbCuGe crystal. Source: OQMD via LeMat-Bulk, functional PBE.

a = 4.313 Å, b = 4.313 Å, c = 4.313 Å
α = 60.00°, β = 60.00°, γ = 60.00°
Fractional positions:
Cu (0.750, 0.750, 0.750)
Ge (0.000, 0.000, 0.000)
Li (0.250, 0.250, 0.250)
Nb (0.500, 0.500, 0.500)

**Total magnetization**: 1.0 Bohr magnetons per cell
**Energy above the lowest structure with this stoichiometry**: 135 meV/atom

=====

| no. | calculated density (g/cm3) | volume (A^3/atom) | E (eV per cell) |
| --- | --- | --- | --- |
| 1 | 5.754 | 24.63 | -57.8 |
| 2 | 6.113 | 27.58 | -54.1 |
| 3 | 5.826 | 26.63 | -56.2 |
| 4 | 6.433 | 21.75 | -31.2 |
| 5 | 6.835 | 17.82 | -25.3 |
| 6 | 6.202 | 20.33 | -32.9 |
| 7 | 7.579 | 19.38 | -54.5 |
| 8 | 7.823 | 18.92 | -30.4 |
| 9 | 5.620 | 16.51 | -18.8 |
| 10 | 6.592 | 13.56 | -28.6 |
| 11 | 6.807 | 14.40 | -20.0 |
| 12 | 6.911 | 14.18 | -19.4 |